Material: MoP
Method: DFT, GGA-PBE
State: relaxed

Output
**Space-group type**: P-6m2, No. 187
**Total energy**: -8.7845 eV/atom
**Total moment**: 0.000 μB per atom
**Calculated volume**: 14.5 Å³ per atom

Unit cell a=3.2413 b=3.2415 c=3.1951 alpha=90.00 beta=90.00 gamma=120.00
Closest atoms and distances in Å follow each position.
Element x y z (fractional)
Mo  0.0000  0.0000  0.0000  6 P 2.46
P  0.3333  0.6666  0.5000  6 Mo 2.46